Entry 1:
# Co3Hg, optimized geometry, DFT GGA-PBE
# Calculated total energy in eV per cell: -40.499
# Formation energy in eV per atom: 0.34
# SG: No. 59
data_Co3Hg
_space_group_name_H-M_alt 'P 1'
_space_group_IT_number 1
_cell_length_a 4.177
_cell_length_b 4.933
_cell_length_c 5.283
_cell_angle_alpha 90.00
_cell_angle_beta 90.00
_cell_angle_gamma 90.00
loop_
_space_group_symop_operation_xyz
'x,y,z'
loop_
_atom_site_label
_atom_site_type_symbol
_atom_site_fract_x
_atom_site_fract_y
_atom_site_fract_z
_atom_site_occupancy
Co1 Co 0.500 0.730 0.000 1
Co2 Co 0.000 0.870 0.246 1
Co3 Co 0.500 0.130 0.254 1
Co4 Co 0.000 0.270 0.500 1
Co5 Co 0.000 0.870 0.754 1
Co6 Co 0.500 0.130 0.746 1
Hg1 Hg 0.000 0.377 0.000 1
Hg2 Hg 0.500 0.623 0.500 1

---

Entry 2:
# Co5Hg, optimized geometry, DFT GGA-PBE
# Calculated total energy in eV per cell: -34.183
# Formation energy in eV per atom: 0.27
# SG: No. 38
data_Co5Hg
_space_group_name_H-M_alt 'P 1'
_space_group_IT_number 1
_cell_length_a 7.154
_cell_length_b 7.154
_cell_length_c 4.101
_cell_angle_alpha 90.00
_cell_angle_beta 90.00
_cell_angle_gamma 158.59
loop_
_space_group_symop_operation_xyz
'x,y,z'
loop_
_atom_site_label
_atom_site_type_symbol
_atom_site_fract_x
_atom_site_fract_y
_atom_site_fract_z
_atom_site_occupancy
Co1 Co 0.982 0.018 0.000 1
Co2 Co 0.335 0.665 0.000 1
Co3 Co 0.690 0.310 0.000 1
Co4 Co 0.432 0.568 0.500 1
Co5 Co 0.787 0.213 0.500 1
Hg1 Hg 0.106 0.894 0.500 1

---

Entry 3:
# CoHg3, optimized geometry, DFT GGA-PBE
# Energy above the lowest structure with this stoichiometry in meV per atom: 218.9
# Calculated total energy in eV per cell: -6.018
# Formation energy in eV per atom: 0.50
# SG: No. 139
data_CoHg3
_space_group_name_H-M_alt 'P 1'
_space_group_IT_number 1
_cell_length_a 5.401
_cell_length_b 5.401
_cell_length_c 5.401
_cell_angle_alpha 134.56
_cell_angle_beta 134.56
_cell_angle_gamma 66.21
loop_
_space_group_symop_operation_xyz
'x,y,z'
loop_
_atom_site_label
_atom_site_type_symbol
_atom_site_fract_x
_atom_site_fract_y
_atom_site_fract_z
_atom_site_occupancy
Co1 Co 0.000 0.000 0.000 1
Hg1 Hg 0.250 0.750 0.500 1
Hg2 Hg 0.500 0.500 0.000 1
Hg3 Hg 0.750 0.250 0.500 1

---

Entry 4:
# CoHg, optimized geometry, DFT GGA-PBE
# Calculated total energy in eV per cell: -12.969
# Formation energy in eV per atom: 0.46
# SG: No. 74
data_CoHg
_space_group_name_H-M_alt 'P 1'
_space_group_IT_number 1
_cell_length_a 5.560
_cell_length_b 5.560
_cell_length_c 5.560
_cell_angle_alpha 149.31
_cell_angle_beta 130.78
_cell_angle_gamma 59.13
loop_
_space_group_symop_operation_xyz
'x,y,z'
loop_
_atom_site_label
_atom_site_type_symbol
_atom_site_fract_x
_atom_site_fract_y
_atom_site_fract_z
_atom_site_occupancy
Co1 Co 0.031 0.031 0.000 1
Co2 Co 0.219 0.719 0.500 1
Hg1 Hg 0.481 0.481 0.000 1
Hg2 Hg 0.769 0.269 0.500 1

---

Entry 5:
# CoHg, optimized geometry, DFT GGA-PBE
# Calculated total energy in eV per cell: -39.357
# Formation energy in eV per atom: 0.42
# SG: No. 38
data_CoHg
_space_group_name_H-M_alt 'P 1'
_space_group_IT_number 1
_cell_length_a 4.048
_cell_length_b 7.961
_cell_length_c 6.507
_cell_angle_alpha 90.00
_cell_angle_beta 90.00
_cell_angle_gamma 90.00
loop_
_space_group_symop_operation_xyz
'x,y,z'
loop_
_atom_site_label
_atom_site_type_symbol
_atom_site_fract_x
_atom_site_fract_y
_atom_site_fract_z
_atom_site_occupancy
Co1 Co 0.500 0.849 0.517 1
Co2 Co 0.500 0.151 0.517 1
Co3 Co 0.500 0.349 0.017 1
Co4 Co 0.500 0.651 0.017 1
Co5 Co 0.000 0.000 0.581 1
Co6 Co 0.000 0.500 0.081 1
Hg1 Hg 0.000 0.308 0.738 1
Hg2 Hg 0.000 0.692 0.738 1
Hg3 Hg 0.000 0.808 0.238 1
Hg4 Hg 0.000 0.192 0.238 1
Hg5 Hg 0.500 0.000 0.912 1
Hg6 Hg 0.500 0.500 0.412 1

---

Entry 6:
# CoHg2, optimized geometry, DFT GGA-PBE
# Calculated total energy in eV per cell: -12.637
# Formation energy in eV per atom: 0.46
# SG: No. 63
data_CoHg2
_space_group_name_H-M_alt 'P 1'
_space_group_IT_number 1
_cell_length_a 7.980
_cell_length_b 7.980
_cell_length_c 4.769
_cell_angle_alpha 90.00
_cell_angle_beta 90.00
_cell_angle_gamma 157.99
loop_
_space_group_symop_operation_xyz
'x,y,z'
loop_
_atom_site_label
_atom_site_type_symbol
_atom_site_fract_x
_atom_site_fract_y
_atom_site_fract_z
_atom_site_occupancy
Co1 Co 0.722 0.278 0.750 1
Co2 Co 0.278 0.722 0.250 1
Hg1 Hg 0.362 0.638 0.750 1
Hg2 Hg 0.064 0.936 0.750 1
Hg3 Hg 0.936 0.064 0.250 1
Hg4 Hg 0.638 0.362 0.250 1

---

Entry 7:
# CoHg2, optimized geometry, DFT GGA-PBE
# Calculated total energy in eV per cell: -20.096
# Formation energy in eV per atom: 0.90
# SG: No. 194
data_CoHg2
_space_group_name_H-M_alt 'P 1'
_space_group_IT_number 1
_cell_length_a 5.673
_cell_length_b 5.673
_cell_length_c 9.543
_cell_angle_alpha 90.00
_cell_angle_beta 90.00
_cell_angle_gamma 120.00
loop_
_space_group_symop_operation_xyz
'x,y,z'
loop_
_atom_site_label
_atom_site_type_symbol
_atom_site_fract_x
_atom_site_fract_y
_atom_site_fract_z
_atom_site_occupancy
Co1 Co 0.333 0.667 0.987 1
Co2 Co 0.333 0.667 0.513 1
Co3 Co 0.667 0.333 0.487 1
Co4 Co 0.667 0.333 0.013 1
Hg1 Hg 0.000 0.000 0.000 1
Hg2 Hg 0.000 0.000 0.500 1
Hg3 Hg 0.169 0.339 0.750 1
Hg4 Hg 0.169 0.831 0.750 1
Hg5 Hg 0.339 0.169 0.250 1
Hg6 Hg 0.661 0.831 0.750 1
Hg7 Hg 0.831 0.169 0.250 1
Hg8 Hg 0.831 0.661 0.250 1

---

Entry 8:
# CoHg, optimized geometry, DFT GGA-PBE
# Calculated total energy in eV per cell: -13.548
# Formation energy in eV per atom: 0.32
# SG: No. 129
data_CoHg
_space_group_name_H-M_alt 'P 1'
_space_group_IT_number 1
_cell_length_a 2.959
_cell_length_b 2.959
_cell_length_c 7.616
_cell_angle_alpha 90.00
_cell_angle_beta 90.00
_cell_angle_gamma 90.00
loop_
_space_group_symop_operation_xyz
'x,y,z'
loop_
_atom_site_label
_atom_site_type_symbol
_atom_site_fract_x
_atom_site_fract_y
_atom_site_fract_z
_atom_site_occupancy
Co1 Co 0.000 0.000 0.047 1
Co2 Co 0.500 0.500 0.203 1
Hg1 Hg 0.000 0.000 0.455 1
Hg2 Hg 0.500 0.500 0.795 1